Record 1
First-principles (GGA-PBE) data for a geometry-optimized CoTcNi2 structure, as listed in Alexandria.

Structure (POSCAR):
```
CoTcNi2
1.0
2.4764 0.0000 0.0000
0.0000 4.0948 0.0000
0.0000 0.0000 4.7755
Co Tc Ni
1 1 2
Direct
0.0000 0.0000 0.0000 Co
0.5000 0.5000 0.2546 Tc
0.0000 0.0000 0.4966 Ni
0.0000 0.5000 0.7534 Ni
```

Calculated values
electronic total energy	-28.30	eV/cell
ΔH_f (0 K)	184.6	meV per atom
polymorph energy (0 for the lowest one)	0.151	eV per atom

***

Record 2
First-principles (GGA-PBE) data for a geometry-optimized TiNbIr structure, as listed in Alexandria.

Structure (POSCAR):
```
TiNbIr
1.0
4.9062 -1.6785 0.0000
4.9062 1.6785 0.0000
-1.7007 0.0000 5.9564
Ti Nb Ir
2 2 2
Direct
0.0000 0.0000 0.0000 Ti
0.6783 0.6783 0.3202 Ti
0.0011 0.0011 0.4981 Nb
0.3294 0.3294 0.6792 Nb
0.3449 0.3449 0.1781 Ir
0.6555 0.6555 0.8244 Ir
```

Calculated values
electronic total energy	-56.28	eV/cell
ΔH_f (0 K)	-437.7	meV per atom
polymorph energy (0 for the lowest one)	0.014	eV per atom

***

Record 3
First-principles (GGA-PBE) data for a geometry-optimized YPuGeRh structure, as listed in Alexandria.

Structure (POSCAR):
```
YPuGeRh
1.0
0.0000 3.5134 3.5134
3.5134 0.0000 3.5134
3.5134 3.5134 0.0000
Y Pu Ge Rh
1 1 1 1
Direct
0.0000 0.0000 0.0000 Y
0.5000 0.5000 0.5000 Pu
0.2500 0.2500 0.2500 Ge
0.7500 0.7500 0.7500 Rh
```

Calculated values
electronic total energy	-34.77	eV/cell
ΔH_f (0 K)	-500.8	meV per atom

***

Density of states at the Fermi level (computed, states/eV per atom): 1.401; 0.884; 2.048
Magnetization (computed, μB per formula unit): 2.32; 0.00; 4.81